(1)
An optimized crystal structure of Ac2Er2Ni15, computed with PBE.

Calculated values
As for the formation energy from the elements: -0.190 eV per atom. As for the density of states at the Fermi level: 1.40 states/eV/atom. Its total energy is -107.7 eV/cell.

abc: 6.595 6.595 6.595
angles: 82.26 82.26 82.26
Sites, in units of the cell vectors:
Ac  0.357  0.357  0.357
Ac  0.643  0.643  0.643
Er  0.110  0.110  0.110
Er  0.890  0.890  0.890
Ni  0.500  0.000  0.000
Ni  0.000  0.000  0.500
Ni  0.000  0.500  0.000
Ni  0.000  0.704  0.296
Ni  0.704  0.296  0.000
Ni  0.296  0.000  0.704
Ni  0.296  0.704  0.000
Ni  0.704  0.000  0.296
Ni  0.000  0.296  0.704
Ni  0.160  0.656  0.656
Ni  0.656  0.656  0.160
Ni  0.656  0.160  0.656
Ni  0.840  0.344  0.344
Ni  0.344  0.344  0.840
Ni  0.344  0.840  0.344

---

(2)
An optimized crystal structure of CePd6Pt3, computed with PBE.

Calculated values
The value obtained for the energy relative to the lowest polymorph listed for this composition is 122 meV/atom. As for the formation energy from the elements: -0.146 eV per atom. As for the density of states at the Fermi level: 1.59 states/eV/atom. Its total energy is -56.7 eV/cell.

abc: 5.275 5.275 7.192
angles: 90.00 90.00 120.00
Sites, in units of the cell vectors:
Ce  0.000  0.000  0.000
Pd  0.558  0.558  0.812
Pd  0.000  0.442  0.812
Pd  0.442  0.000  0.812
Pd  0.000  0.558  0.188
Pd  0.442  0.442  0.188
Pd  0.558  0.000  0.188
Pt  0.000  0.000  0.500
Pt  0.667  0.333  0.500
Pt  0.333  0.667  0.500

---

(3)
An optimized crystal structure of La2MgIrAu, computed with PBE.

Calculated values
As for the formation energy from the elements: -0.472 eV per atom. As for the density of states at the Fermi level: 0.43 states/eV/atom. Its total energy is -25.9 eV/cell.

abc: 5.503 5.503 5.027
angles: 90.00 90.00 90.00
Sites, in units of the cell vectors:
Mg  0.000  0.000  0.500
Ir  0.000  0.000  0.000
Au  0.500  0.500  0.500
La  0.000  0.500  0.000
La  0.500  0.000  0.000